Version a
DFT (GGA-PBE) results for a relaxed structure of K2ZnP.

```
4
Lattice="3.661 0.000 0.000 0.000 3.661 0.000 0.000 0.000 9.823" Properties=species:S:1:pos:R:3 pbc="T T T"
K 0.000 0.000 0.000
K 1.831 1.831 4.024
Zn 1.831 1.831 7.031
P 0.000 0.000 6.683
```

Values from the calculation:
calculated density	2.20	g/cm³
DOS at the Fermi energy	1.71	states/eV/f.u.

***

Version b
DFT (GGA-PBE) results for a relaxed structure of K2ZnP.

```
16
Lattice="4.855 0.000 0.000 0.000 4.855 0.000 0.000 0.000 21.496" Properties=species:S:1:pos:R:3 pbc="T T T"
K 1.169 1.214 2.687
K 1.214 3.597 8.061
K 1.214 3.685 18.809
K 1.258 1.214 13.435
K 3.597 3.641 13.435
K 3.641 1.169 18.809
K 3.641 1.258 8.061
K 3.685 3.641 2.687
Zn 0.000 0.000 10.748
Zn 0.000 2.427 16.122
Zn 2.427 0.000 5.374
Zn 2.427 2.427 0.000
P 0.000 0.000 0.000
P 0.000 2.427 5.374
P 2.427 0.000 16.122
P 2.427 2.427 10.748
```

Values from the calculation:
calculated density	2.29	g/cm³
DOS at the Fermi energy	1.85	states/eV/f.u.

***

Version c
DFT (GGA-PBE) results for a relaxed structure of K2ZnP.

```
8
Lattice="8.131 0.000 0.000 0.000 8.146 0.000 -0.006 0.000 3.579" Properties=species:S:1:pos:R:3 pbc="T T T"
K 2.033 2.036 0.000
K 2.033 6.109 0.000
K 6.098 2.036 0.000
K 6.098 6.109 0.000
Zn -0.003 0.000 1.790
Zn 4.062 4.073 1.790
P -0.003 4.073 1.790
P 4.062 0.000 1.790
```

Values from the calculation:
calculated density	2.45	g/cm³
DOS at the Fermi energy	2.48	states/eV/f.u.

***

Version d
DFT (GGA-PBE) results for a relaxed structure of K2ZnP.

```
8
Lattice="4.172 0.000 0.000 0.000 5.194 0.000 0.000 0.000 11.837" Properties=species:S:1:pos:R:3 pbc="T T T"
K 0.000 0.000 0.000
K 0.000 2.597 5.919
K 2.086 0.000 3.487
K 2.086 2.597 9.405
Zn 2.086 0.000 7.267
Zn 2.086 2.597 1.348
P 0.000 0.000 8.346
P 0.000 2.597 2.427
```

Values from the calculation:
calculated density	2.26	g/cm³
DOS at the Fermi energy	2.12	states/eV/f.u.

***

Preferred: version d; penalty for the next structure: 254 meV per atom.

***

Version a
DFT (GGA-PBE) results for a relaxed structure of K3ZrP.

```
5
Lattice="6.617 0.000 0.000 0.000 6.617 0.000 0.000 0.000 6.617" Properties=species:S:1:pos:R:3 pbc="T T T"
K 0.000 0.000 3.308
K 0.000 3.308 0.000
K 3.308 0.000 0.000
Zr 0.000 0.000 0.000
P 3.308 3.308 3.308
```

Values from the calculation:
calculated density	1.37	g/cm³
DOS at the Fermi energy	3.63	states/eV/f.u.

***

Version b
DFT (GGA-PBE) results for a relaxed structure of K3ZrP.

```
5
Lattice="6.249 0.000 0.000 0.000 6.249 0.000 0.000 0.000 6.249" Properties=species:S:1:pos:R:3 pbc="T T T"
K 0.000 0.000 3.125
K 0.000 3.125 0.000
K 3.125 0.000 0.000
Zr 3.125 3.125 3.125
P 0.000 0.000 0.000
```

Values from the calculation:
calculated density	1.63	g/cm³
DOS at the Fermi energy	3.02	states/eV/f.u.

***

Preferred: version b; penalty for the next structure: 544 meV per atom.

***

Version a
DFT (GGA-PBE) results for a relaxed structure of KZr3P.

```
5
Lattice="5.088 0.000 0.000 0.000 5.088 0.000 0.000 0.000 5.088" Properties=species:S:1:pos:R:3 pbc="T T T"
K 0.000 0.000 0.000
Zr 0.000 2.544 2.544
Zr 2.544 0.000 2.544
Zr 2.544 2.544 0.000
P 2.544 2.544 2.544
```

Values from the calculation:
calculated density	4.33	g/cm³
DOS at the Fermi energy	6.81	states/eV/f.u.

***

Version b
DFT (GGA-PBE) results for a relaxed structure of KZr3P.

```
5
Lattice="4.855 0.000 0.000 0.000 4.855 0.000 0.000 0.000 4.855" Properties=species:S:1:pos:R:3 pbc="T T T"
K 0.000 0.000 0.000
Zr 0.000 0.000 2.427
Zr 0.000 2.427 0.000
Zr 2.427 0.000 0.000
P 2.427 2.427 2.427
```

Values from the calculation:
calculated density	4.99	g/cm³
DOS at the Fermi energy	6.21	states/eV/f.u.

***

Preferred: version a; penalty for the next structure: 1873 meV per atom.

***

Version a
DFT (GGA-PBE) results for a relaxed structure of KZrP3.

```
5
Lattice="4.905 0.000 0.000 0.000 4.905 0.000 0.000 0.000 4.905" Properties=species:S:1:pos:R:3 pbc="T T T"
K 0.000 0.000 0.000
Zr 2.453 2.453 2.453
P 0.000 0.000 2.453
P 0.000 2.453 0.000
P 2.453 0.000 0.000
```

Values from the calculation:
calculated density	3.14	g/cm³
DOS at the Fermi energy	5.87	states/eV/f.u.

***

Version b
DFT (GGA-PBE) results for a relaxed structure of KZrP3.

```
5
Lattice="5.100 0.000 0.000 0.000 5.100 0.000 0.000 0.000 5.100" Properties=species:S:1:pos:R:3 pbc="T T T"
K 0.000 0.000 0.000
Zr 2.550 2.550 2.550
P 0.000 2.550 2.550
P 2.550 0.000 2.550
P 2.550 2.550 0.000
```

Values from the calculation:
calculated density	2.80	g/cm³
DOS at the Fermi energy	5.01	states/eV/f.u.

***

Preferred: version b; penalty for the next structure: 1781 meV per atom.

***

Version a
DFT (GGA-PBE) results for a relaxed structure of K2Pa2S5.

```
18
Lattice="7.758 -3.818 0.000 7.758 3.818 0.000 0.000 0.000 7.643" Properties=species:S:1:pos:R:3 pbc="T T T"
K 3.197 0.000 0.000
K 4.561 0.000 3.821
K 10.955 0.000 3.821
K 12.319 0.000 0.000
Pa 7.758 2.592 5.049
Pa 7.758 1.226 1.227
Pa 7.758 -1.226 6.416
Pa 7.758 -2.592 2.594
S 0.000 0.000 0.000
S 6.027 2.711 2.715
S 6.027 1.107 6.536
S 9.488 2.711 2.715
S 9.488 1.107 6.536
S 7.758 0.000 3.821
S 6.027 -1.107 1.107
S 6.027 -2.711 4.928
S 9.488 -1.107 1.107
S 9.488 -2.711 4.928
```

Values from the calculation:
calculated density	5.14	g/cm³
DOS at the Fermi energy	3.75	states/eV/f.u.

***

Version b
DFT (GGA-PBE) results for a relaxed structure of K2Pa2S5.

```
9
Lattice="6.934 -2.695 0.000 6.934 2.695 0.000 -4.559 0.000 6.879" Properties=species:S:1:pos:R:3 pbc="T T T"
K -0.366 0.000 3.172
K 9.675 0.000 3.707
Pa 4.937 0.000 0.700
Pa 4.372 0.000 6.180
S -2.077 0.000 6.229
S 1.786 0.000 5.328
S 4.654 0.000 3.440
S 7.522 0.000 1.551
S 11.385 0.000 0.650
```

Values from the calculation:
calculated density	4.52	g/cm³
DOS at the Fermi energy	8.20	states/eV/f.u.

***

Preferred: version a; penalty for the next structure: 72 meV per atom.

***

Version a
DFT (GGA-PBE) results for a relaxed structure of KPaS4.

```
12
Lattice="7.208 -3.917 0.000 7.208 3.917 0.000 -5.321 0.000 7.018" Properties=species:S:1:pos:R:3 pbc="T T T"
K 7.208 2.022 0.000
K 7.208 -2.022 0.000
Pa 4.548 1.869 3.509
Pa 4.548 -1.869 3.509
S -3.583 0.000 4.921
S 2.373 1.031 2.077
S 2.373 -1.031 2.077
S 5.577 0.000 1.954
S 3.518 0.000 5.063
S 6.722 1.031 4.940
S 6.722 -1.031 4.940
S 12.678 0.000 2.097
```

Values from the calculation:
calculated density	3.34	g/cm³

***

Version b
DFT (GGA-PBE) results for a relaxed structure of KPaS4.

```
6
Lattice="4.388 0.000 0.000 0.000 4.388 0.000 0.000 0.000 8.157" Properties=species:S:1:pos:R:3 pbc="T T T"
K 0.000 0.000 0.000
Pa 2.194 2.194 4.079
S 0.000 2.194 2.431
S 0.000 2.194 5.726
S 2.194 0.000 2.431
S 2.194 0.000 5.726
```

Values from the calculation:
calculated density	4.21	g/cm³
DOS at the Fermi energy	2.03	states/eV/f.u.

***

Preferred: version a; penalty for the next structure: 30 meV per atom.